# 1
Below is a geometry-optimized LaZr2Ir structure, with properties calculated at the GGA-PBE level.

The calculation puts the density of states at the Fermi level at 27.6 states/eV per cell. The magnetization is 0.4 μB/cell. The energy of formation from the pure elements comes out at -0.07 eV/atom.

The space group is F-43m (No. 216) and the conventional cell measures 7.059, 7.059 and 7.059 Å, with angles of 90.00, 90.00 and 90.00 degrees. The asymmetric unit holds La at (0.000, 0.000, 0.000), Zr at (0.000, 0.000, 0.500), Zr at (0.250, 0.250, 0.750) and Ir at (0.250, 0.250, 0.250).

# 2
Below is a geometry-optimized LaZr2Ir structure, with properties calculated at the GGA-PBE level.

The calculation puts the density of states at the Fermi level at 4.4 states/eV per cell. The magnetization is 0.0 μB/cell. The energy of formation from the pure elements comes out at -0.13 eV/atom.

The space group is Pmmm (No. 47) and the conventional cell measures 3.370, 4.982 and 5.226 Å, with angles of 90.00, 90.00 and 90.00 degrees. The asymmetric unit holds La at (0.000, 0.000, 0.000), Zr at (0.000, 0.500, 0.500), Zr at (0.500, 0.500, 0.000) and Ir at (0.500, 0.000, 0.500).

# 3
Below is a geometry-optimized La2ZrIr structure, with properties calculated at the GGA-PBE level.

The calculation puts the density of states at the Fermi level at 8.6 states/eV per cell. The magnetization is 0.0 μB/cell. The energy of formation from the pure elements comes out at -0.31 eV/atom. Its energy above the lowest structure with this stoichiometry is 0.000 eV/atom.

The space group is Imm2 (No. 44) and the conventional cell measures 3.645, 5.425 and 10.970 Å, with angles of 90.00, 90.00 and 90.00 degrees. The asymmetric unit holds La at (0.000, 0.000, 0.000), La at (0.000, 0.500, 0.205), Zr at (0.000, 0.500, 0.804) and Ir at (0.000, 0.000, 0.478).

# 4
Below is a geometry-optimized La2ZrIr structure, with properties calculated at the GGA-PBE level.

The calculation puts the density of states at the Fermi level at 8.0 states/eV per cell. The magnetization is 0.0 μB/cell. The energy of formation from the pure elements comes out at -0.17 eV/atom. Its energy above the lowest structure with this stoichiometry is 0.142 eV/atom.

The space group is Immm (No. 71) and the conventional cell measures 3.793, 5.213 and 10.558 Å, with angles of 90.00, 90.00 and 90.00 degrees. The asymmetric unit holds La at (0.000, 0.000, 0.204), Zr at (0.000, 0.500, 0.000) and Ir at (0.000, 0.500, 0.500).

# 5
Below is a geometry-optimized La2ZrIr structure, with properties calculated at the GGA-PBE level.

The calculation puts the density of states at the Fermi level at 5.1 states/eV per cell. The magnetization is 0.0 μB/cell. The energy of formation from the pure elements comes out at -0.13 eV/atom. Its energy above the lowest structure with this stoichiometry is 0.179 eV/atom.

The space group is P4/mmm (No. 123) and the conventional cell measures 3.650, 3.650 and 7.993 Å, with angles of 90.00, 90.00 and 90.00 degrees. The asymmetric unit holds La at (0.000, 0.000, 0.210), Zr at (0.500, 0.500, 0.500) and Ir at (0.500, 0.500, 0.000).

# 6
Below is a geometry-optimized La2ZrIr structure, with properties calculated at the GGA-PBE level.

The calculation puts the density of states at the Fermi level at 5.2 states/eV per cell. The magnetization is 0.0 μB/cell. The energy of formation from the pure elements comes out at -0.10 eV/atom. Its energy above the lowest structure with this stoichiometry is 0.214 eV/atom.

The space group is P2/m (No. 10) and the conventional cell measures 4.411, 4.021 and 6.249 Å, with angles of 90.00, 102.47 and 90.00 degrees. The asymmetric unit holds La at (0.102, 0.000, 0.281), Zr at (0.500, 0.500, 0.000) and Ir at (0.500, 0.500, 0.500).

# 7
Below is a geometry-optimized LaZr2Ir2 structure, with properties calculated at the GGA-PBE level.

The calculation puts the density of states at the Fermi level at 13.4 states/eV per cell. The magnetization is 0.0 μB/cell. The energy of formation from the pure elements comes out at -0.52 eV/atom. Its energy above the lowest structure with this stoichiometry is 0.246 eV/atom.

The space group is P4/mbm (No. 127) and the conventional cell measures 7.931, 7.931 and 3.395 Å, with angles of 90.00, 90.00 and 90.00 degrees. The asymmetric unit holds La at (0.000, 0.000, 0.000), Zr at (0.152, 0.348, 0.500) and Ir at (0.134, 0.634, 0.000).

# 8
Below is a geometry-optimized LaZr2Ir structure, with properties calculated at the GGA-PBE level.

The calculation puts the density of states at the Fermi level at 9.3 states/eV per cell. The magnetization is 0.0 μB/cell. The energy of formation from the pure elements comes out at -0.06 eV/atom.

The space group is R3m (No. 160, hexagonal axes) and the conventional cell measures 3.5517, 3.5517 and 27.3152 Å, with angles of 90.00, 90.00 and 120.00 degrees. The asymmetric unit holds La at (0.0000, 0.0000, 0.0000), Zr at (0.0000, 0.0000, 0.2305), Zr at (0.0000, 0.0000, 0.4719) and Ir at (0.0000, 0.0000, 0.7431).

# 9
Below is a geometry-optimized La2ZrIr structure, with properties calculated at the GGA-PBE level.

The calculation puts the density of states at the Fermi level at 22.4 states/eV per cell. The magnetization is 0.0 μB/cell. The energy of formation from the pure elements comes out at 0.01 eV/atom. Its energy above the lowest structure with this stoichiometry is 0.318 eV/atom.

The space group is I-42d (No. 122) and the conventional cell measures 8.471, 8.471 and 6.170 Å, with angles of 90.00, 90.00 and 90.00 degrees. The asymmetric unit holds La at (0.195, 0.750, 0.125), Zr at (0.000, 0.000, 0.500) and Ir at (0.000, 0.000, 0.000).

# 10
Below is a geometry-optimized LaZr2Ir structure, with properties calculated at the GGA-PBE level.

The calculation puts the density of states at the Fermi level at 8.1 states/eV per cell. The magnetization is 0.0 μB/cell. The energy of formation from the pure elements comes out at -0.26 eV/atom.

The space group is Cm (No. 8) and the conventional cell measures 11.333, 3.469 and 5.514 Å, with angles of 90.00, 116.64 and 90.00 degrees. The asymmetric unit holds La at (0.000, 0.000, 0.000), Zr at (0.200, 0.000, 0.741), Zr at (0.406, 0.000, 0.402) and Ir at (0.220, 0.500, 0.391).

# 11
Below is a geometry-optimized Li4Ir5 structure, with properties calculated at the GGA-PBE level.

The calculation puts the density of states at the Fermi level at 14.1 states/eV per cell. The magnetization is 0.0 μB/cell. The energy of formation from the pure elements comes out at 0.13 eV/atom.

The space group is P6_3/mcm (No. 193) and the conventional cell measures 7.3362, 7.3362 and 5.1482 Å, with angles of 90.00, 90.00 and 120.00 degrees. The asymmetric unit holds Li at (0.0000, 0.0000, 0.0000), Li at (0.0000, 0.3282, 0.2500), Ir at (0.0000, 0.3457, 0.7500) and Ir at (0.3333, 0.6667, 0.0000).

# 12
Below is a geometry-optimized LiIr structure, with properties calculated at the GGA-PBE level.

The calculation puts the density of states at the Fermi level at 4.5 states/eV per cell. The magnetization is 0.0 μB/cell. The energy of formation from the pure elements comes out at -0.21 eV/atom.

The space group is P6_3/mmc (No. 194) and the conventional cell measures 2.6709, 2.6709 and 8.8028 Å, with angles of 90.00, 90.00 and 120.00 degrees. The asymmetric unit holds Li at (0.3333, 0.6667, 0.2500) and Ir at (0.0000, 0.0000, 0.0000).

# 13
Below is a geometry-optimized LiIr structure, with properties calculated at the GGA-PBE level.

The calculation puts the density of states at the Fermi level at 2.9 states/eV per cell. The magnetization is 0.0 μB/cell. The energy of formation from the pure elements comes out at -0.25 eV/atom.

The space group is R-3m (No. 166, hexagonal axes) and the conventional cell measures 2.6665, 2.6665 and 13.2435 Å, with angles of 90.00, 90.00 and 120.00 degrees. The asymmetric unit holds Li at (0.0000, 0.0000, 0.0000) and Ir at (0.0000, 0.0000, 0.5000).

# 14
Below is a geometry-optimized Li2Ir structure, with properties calculated at the GGA-PBE level.

The calculation puts the density of states at the Fermi level at 4.8 states/eV per cell. The magnetization is 0.0 μB/cell. The energy of formation from the pure elements comes out at -0.12 eV/atom.

The space group is C2/m (No. 12) and the conventional cell measures 10.141, 2.617 and 6.621 Å, with angles of 90.00, 102.05 and 90.00 degrees. The asymmetric unit holds Li at (0.028, 0.000, 0.333), Li at (0.150, 0.500, 0.032) and Ir at (0.205, 0.500, 0.644).

# 15
Below is a geometry-optimized Li3Ir structure, with properties calculated at the GGA-PBE level.

The calculation puts the density of states at the Fermi level at 5.5 states/eV per cell. The magnetization is 0.0 μB/cell. The energy of formation from the pure elements comes out at -0.10 eV/atom.

The space group is C2/m (No. 12) and the conventional cell measures 9.016, 2.569 and 4.909 Å, with angles of 90.00, 96.00 and 90.00 degrees. The asymmetric unit holds Li at (0.000, 0.000, 0.000), Li at (0.245, 0.000, 0.723) and Ir at (0.000, 0.500, 0.500).

# 16
Below is a geometry-optimized LiIr2 structure, with properties calculated at the GGA-PBE level.

The calculation puts the density of states at the Fermi level at 14.4 states/eV per cell. The magnetization is 0.0 μB/cell. The energy of formation from the pure elements comes out at -0.01 eV/atom.

The space group is Cmcm (No. 63) and the conventional cell measures 2.756, 13.769 and 4.301 Å, with angles of 90.00, 90.00 and 90.00 degrees. The asymmetric unit holds Li at (0.000, 0.110, 0.250), Ir at (0.000, 0.218, 0.750) and Ir at (0.000, 0.446, 0.250).

# 17
Below is a geometry-optimized LiIr3 structure, with properties calculated at the GGA-PBE level.

The calculation puts the density of states at the Fermi level at 10.1 states/eV per cell. The magnetization is 0.0 μB/cell. The energy of formation from the pure elements comes out at 0.36 eV/atom.

The space group is Pm-3n (No. 223) and the conventional cell measures 4.854, 4.854 and 4.854 Å, with angles of 90.00, 90.00 and 90.00 degrees. The asymmetric unit holds Li at (0.000, 0.000, 0.000) and Ir at (0.000, 0.250, 0.500).

# 18
Below is a geometry-optimized LiIr structure, with properties calculated at the GGA-PBE level.

The calculation puts the density of states at the Fermi level at 7.3 states/eV per cell. The magnetization is 0.0 μB/cell. The energy of formation from the pure elements comes out at 0.50 eV/atom.

The space group is P6_3/mmc (No. 194) and the conventional cell measures 2.9185, 2.9185 and 12.5860 Å, with angles of 90.00, 90.00 and 120.00 degrees. The asymmetric unit holds Li at (0.0000, 0.0000, 0.2500), Li at (0.3333, 0.6667, 0.2500) and Ir at (0.3333, 0.6667, 0.5845).

# 19
Below is a geometry-optimized LiIr structure, with properties calculated at the GGA-PBE level.

The calculation puts the density of states at the Fermi level at 24.5 states/eV per cell. The magnetization is 9.1 μB/cell. The energy of formation from the pure elements comes out at 2.01 eV/atom.

The space group is Pm-3n (No. 223) and the conventional cell measures 6.689, 6.689 and 6.689 Å, with angles of 90.00, 90.00 and 90.00 degrees. The asymmetric unit holds Li at (0.000, 0.250, 0.500) and Ir at (0.000, 0.500, 0.250).

# 20
Below is a geometry-optimized Li3Ir structure, with properties calculated at the GGA-PBE level.

The calculation puts the density of states at the Fermi level at 2.3 states/eV per cell. The magnetization is 0.0 μB/cell. The energy of formation from the pure elements comes out at -0.08 eV/atom.

The space group is P-6m2 (No. 187) and the conventional cell measures 2.7327, 2.7327 and 9.5269 Å, with angles of 90.00, 90.00 and 120.00 degrees. The asymmetric unit holds Li at (0.0000, 0.0000, 0.0000), Li at (0.6667, 0.3333, 0.2792) and Ir at (0.0000, 0.0000, 0.5000).

# 21
Below is a geometry-optimized LiIr2 structure, with properties calculated at the GGA-PBE level.

The calculation puts the density of states at the Fermi level at 11.7 states/eV per cell. The magnetization is 0.0 μB/cell. The energy of formation from the pure elements comes out at -0.02 eV/atom.

The space group is P6_3/mmc (No. 194) and the conventional cell measures 5.2317, 5.2317 and 8.0979 Å, with angles of 90.00, 90.00 and 120.00 degrees. The asymmetric unit holds Li at (0.3333, 0.6667, 0.0779), Ir at (0.0000, 0.0000, 0.0000) and Ir at (0.1749, 0.3499, 0.7500).

# 22
Below is a geometry-optimized Li2Ir structure, with properties calculated at the GGA-PBE level.

The calculation puts the density of states at the Fermi level at 11.4 states/eV per cell. The magnetization is 4.1 μB/cell. The energy of formation from the pure elements comes out at 0.75 eV/atom.

The space group is Pa-3 (No. 205) and the conventional cell measures 5.988, 5.988 and 5.988 Å, with angles of 90.00, 90.00 and 90.00 degrees. The asymmetric unit holds Li at (0.139, 0.139, 0.139) and Ir at (0.000, 0.000, 0.500).

# 23
Below is a geometry-optimized LiIr structure, with properties calculated at the GGA-PBE level.

The calculation puts the density of states at the Fermi level at 20.0 states/eV per cell. The magnetization is 0.0 μB/cell. The energy of formation from the pure elements comes out at 0.03 eV/atom.

The space group is Fddd (No. 70, origin choice 2) and the conventional cell measures 4.517, 7.490 and 14.377 Å, with angles of 90.00, 90.00 and 90.00 degrees. The asymmetric unit holds Li at (0.125, 0.286, 0.125) and Ir at (0.125, 0.125, 0.539).

# 24
Below is a geometry-optimized LiIr structure, with properties calculated at the GGA-PBE level.

The calculation puts the density of states at the Fermi level at 3.7 states/eV per cell. The magnetization is 0.0 μB/cell. The energy of formation from the pure elements comes out at 0.54 eV/atom.

The space group is P6_3/mmc (No. 194) and the conventional cell measures 4.1742, 4.1742 and 4.7553 Å, with angles of 90.00, 90.00 and 120.00 degrees. The asymmetric unit holds Li at (0.3333, 0.6667, 0.2500) and Ir at (0.0000, 0.0000, 0.0000).

# 25
Below is a geometry-optimized LiIr2 structure, with properties calculated at the GGA-PBE level.

The calculation puts the density of states at the Fermi level at 10.1 states/eV per cell. The magnetization is 0.0 μB/cell. The energy of formation from the pure elements comes out at 0.32 eV/atom.

The space group is P-62m (No. 189) and the conventional cell measures 6.0228, 6.0228 and 3.7152 Å, with angles of 90.00, 90.00 and 120.00 degrees. The asymmetric unit holds Li at (0.0000, 0.0000, 0.0000), Li at (0.3333, 0.6667, 0.5000), Ir at (0.0000, 0.2507, 0.5000) and Ir at (0.0000, 0.5772, 0.0000).